# 1
{"formula": "ZnTeP2F", "functional": "PBE", "state": "relaxed", "cell": [[4.532, 0.000, 0.000], [0.000, 4.532, 0.000], [0.000, 0.000, 5.367]], "species": ["Zn", "Te", "P", "P", "F"], "frac_coords": [[0.000, 0.000, 0.000], [0.000, 0.000, 0.500], [0.000, 0.500, 0.000], [0.500, 0.000, 0.000], [0.500, 0.500, 0.500]], "e_form_raw_ev_per_atom": 0.62, "volume_a3_per_atom": 22.04, "dos_at_fermi_per_ev_fu": 3.90, "total_magnetization_mub_per_fu": 0.00}

# 2
{"formula": "ZrTeP2F", "functional": "PBE", "state": "relaxed", "cell": [[5.154, 0.000, 0.000], [0.000, 5.154, 0.000], [0.000, 0.000, 4.126]], "species": ["Zr", "Te", "P", "P", "F"], "frac_coords": [[0.000, 0.000, 0.000], [0.500, 0.500, 0.500], [0.000, 0.500, 0.000], [0.500, 0.000, 0.000], [0.000, 0.000, 0.500]], "e_form_raw_ev_per_atom": -0.73, "volume_a3_per_atom": 21.91, "dos_at_fermi_per_ev_fu": 2.48, "total_magnetization_mub_per_fu": 0.00}

# 3
{"formula": "TiP3F", "functional": "PBE", "state": "relaxed", "cell": [[4.266, 0.000, 0.000], [0.000, 4.266, 0.000], [0.000, 0.000, 4.266]], "species": ["Ti", "P", "P", "P", "F"], "frac_coords": [[0.000, 0.000, 0.000], [0.000, 0.500, 0.500], [0.500, 0.000, 0.500], [0.500, 0.500, 0.000], [0.500, 0.500, 0.500]], "e_form_raw_ev_per_atom": 0.34, "volume_a3_per_atom": 15.53, "dos_at_fermi_per_ev_fu": 3.92, "total_magnetization_mub_per_fu": 0.27, "relative_energy_ev_per_atom": 0.293}

# 4
{"formula": "TiP2F", "functional": "PBE", "state": "relaxed", "cell": [[-1.671, 1.671, 9.714], [1.671, -1.671, 9.714], [1.671, 1.671, -9.714]], "species": ["Ti", "Ti", "P", "P", "P", "P", "F", "F"], "frac_coords": [[0.000, 0.000, 0.000], [0.750, 0.250, 0.500], [0.141, 0.625, 0.016], [0.375, 0.391, 0.516], [0.609, 0.125, 0.984], [0.875, 0.859, 0.484], [0.250, 0.750, 0.500], [0.500, 0.500, 0.000]], "e_form_raw_ev_per_atom": -0.79, "volume_a3_per_atom": 13.55, "dos_at_fermi_per_ev_fu": 1.72, "total_magnetization_mub_per_fu": 0.74, "relative_energy_ev_per_atom": 0.000}

# 5
{"formula": "TiPF", "functional": "PBE", "state": "relaxed", "cell": [[8.208, 0.000, 0.000], [0.000, 8.208, 0.000], [0.000, 0.000, 2.734]], "species": ["Ti", "Ti", "Ti", "Ti", "P", "P", "P", "P", "F", "F", "F", "F"], "frac_coords": [[0.212, 0.241, 0.000], [0.241, 0.788, 0.500], [0.759, 0.212, 0.500], [0.788, 0.759, 0.000], [0.213, 0.480, 0.500], [0.480, 0.787, 0.000], [0.520, 0.213, 0.000], [0.787, 0.520, 0.500], [0.051, 0.801, 0.000], [0.199, 0.051, 0.500], [0.801, 0.949, 0.500], [0.949, 0.199, 0.000]], "e_form_raw_ev_per_atom": -1.67, "volume_a3_per_atom": 15.35, "total_magnetization_mub_per_fu": 0.00}

# 6
{"formula": "TiP3F", "functional": "PBE", "state": "relaxed", "cell": [[4.614, 0.000, 0.000], [0.000, 4.614, 0.000], [0.000, 0.000, 4.614]], "species": ["Ti", "P", "P", "P", "F"], "frac_coords": [[0.000, 0.000, 0.000], [0.000, 0.000, 0.500], [0.000, 0.500, 0.000], [0.500, 0.000, 0.000], [0.500, 0.500, 0.500]], "e_form_raw_ev_per_atom": 0.05, "volume_a3_per_atom": 19.64, "dos_at_fermi_per_ev_fu": 1.64, "total_magnetization_mub_per_fu": 0.00, "relative_energy_ev_per_atom": 0.000}

# 7
{"formula": "Ti2PF2", "functional": "PBE", "state": "relaxed", "cell": [[3.988, 0.000, 0.000], [0.000, 3.988, 0.000], [0.000, 0.000, 5.234]], "species": ["Ti", "Ti", "P", "F", "F"], "frac_coords": [[0.000, 0.000, 0.000], [0.500, 0.500, 0.000], [0.000, 0.000, 0.500], [0.000, 0.500, 0.500], [0.500, 0.000, 0.500]], "e_form_raw_ev_per_atom": -0.28, "volume_a3_per_atom": 16.65, "dos_at_fermi_per_ev_fu": 3.50, "total_magnetization_mub_per_fu": 1.83}

# 8
{"formula": "TiP2F", "functional": "PBE", "state": "relaxed", "cell": [[0.000, 3.031, 3.031], [3.031, 0.000, 3.031], [3.031, 3.031, 0.000]], "species": ["Ti", "P", "P", "F"], "frac_coords": [[0.000, 0.000, 0.000], [0.250, 0.250, 0.250], [0.750, 0.750, 0.750], [0.500, 0.500, 0.500]], "e_form_raw_ev_per_atom": -0.36, "volume_a3_per_atom": 13.93, "dos_at_fermi_per_ev_fu": 5.16, "total_magnetization_mub_per_fu": 0.00, "relative_energy_ev_per_atom": 0.423}

# 9
{"formula": "Ti3PF", "functional": "PBE", "state": "relaxed", "cell": [[4.090, 0.000, 0.000], [0.000, 4.090, 0.000], [0.000, 0.000, 4.090]], "species": ["Ti", "Ti", "Ti", "P", "F"], "frac_coords": [[0.000, 0.000, 0.500], [0.000, 0.500, 0.000], [0.500, 0.000, 0.000], [0.500, 0.500, 0.500], [0.000, 0.000, 0.000]], "e_form_raw_ev_per_atom": -0.70, "volume_a3_per_atom": 13.68, "dos_at_fermi_per_ev_fu": 3.36, "total_magnetization_mub_per_fu": 1.33, "relative_energy_ev_per_atom": 0.000}